# 1
# LuPaPt

Crystalline LuPaPt at its relaxed geometry (PBE, the Alexandria database).

It has space group F-43m (No. 216), with a = 6.809 Å, b = 6.809 Å, c = 6.809 Å, α = 90.00°, β = 90.00° and γ = 90.00°. Symmetry generates all atoms from Lu at (0.000, 0.000, 0.000), Pa at (0.000, 0.000, 0.500) and Pt at (0.250, 0.250, 0.250).

Its total magnetization is 0.99 μB/f.u. The uncorrected energy comes out at -7.133 eV per atom. The value obtained for the formation energy is -447 meV per atom.

***

# 2
# LuPaZnPt

Crystalline LuPaZnPt at its relaxed geometry (PBE, the Alexandria database).

It has space group F-43m (No. 216), with a = 6.999 Å, b = 6.999 Å, c = 6.999 Å, α = 90.00°, β = 90.00° and γ = 90.00°. Symmetry generates all atoms from Lu at (0.000, 0.000, 0.000), Pa at (0.000, 0.000, 0.500), Zn at (0.250, 0.250, 0.750) and Pt at (0.250, 0.250, 0.250).

Its total magnetization is 0.30 μB/f.u. The uncorrected energy comes out at -5.857 eV per atom. The value obtained for the formation energy is -524 meV per atom.

***

# 3
# LuPu2Pa

Crystalline LuPu2Pa at its relaxed geometry (PBE, the Alexandria database).

It has space group Fm-3m (No. 225), with a = 7.502 Å, b = 7.502 Å, c = 7.502 Å, α = 90.00°, β = 90.00° and γ = 90.00°. Symmetry generates all atoms from Lu at (0.000, 0.000, 0.000), Pu at (0.250, 0.250, 0.250) and Pa at (0.000, 0.000, 0.500).

Its total magnetization is 13.92 μB/f.u. The uncorrected energy comes out at -10.408 eV per atom. The value obtained for the formation energy is 262 meV per atom.

***

# 4
# LuPu2Pa

Crystalline LuPu2Pa at its relaxed geometry (PBE, the Alexandria database).

It has space group R-3m (No. 166, hexagonal axes), with a = 3.3456 Å, b = 3.3456 Å, c = 32.2402 Å, α = 90.00°, β = 90.00° and γ = 120.00°. Symmetry generates all atoms from Lu at (0.0000, 0.0000, 0.0000), Pu at (0.0000, 0.0000, 0.2451) and Pa at (0.0000, 0.0000, 0.5000).

Its total magnetization is 11.22 μB/f.u. The uncorrected energy comes out at -10.530 eV per atom. The value obtained for the formation energy is 141 meV per atom.

***

# 5
# LuPuPa

Crystalline LuPuPa at its relaxed geometry (PBE, the Alexandria database).

It has space group P3m1 (No. 156), with a = 3.3557 Å, b = 3.3557 Å, c = 8.1117 Å, α = 90.00°, β = 90.00° and γ = 120.00°. Symmetry generates all atoms from Lu at (0.0000, 0.0000, 0.0000), Pu at (0.3333, 0.6667, 0.6427) and Pa at (0.6667, 0.3333, 0.3336).

Its total magnetization is 5.75 μB/f.u. The uncorrected energy comes out at -9.321 eV per atom. The value obtained for the formation energy is 128 meV per atom.

***

# 6
# LuPu2Pa

Crystalline LuPu2Pa at its relaxed geometry (PBE, the Alexandria database).

It has space group P4/mmm (No. 123), with a = 4.765 Å, b = 4.765 Å, c = 4.535 Å, α = 90.00°, β = 90.00° and γ = 90.00°. Symmetry generates all atoms from Lu at (0.000, 0.000, 0.000), Pu at (0.000, 0.500, 0.500) and Pa at (0.500, 0.500, 0.000).

Its total magnetization is 11.44 μB/f.u. The uncorrected energy comes out at -10.461 eV per atom. The value obtained for the formation energy is 209 meV per atom.

***

# 7
# LuPu2Pa

Crystalline LuPu2Pa at its relaxed geometry (PBE, the Alexandria database).

It has space group P4/mmm (No. 123), with a = 3.335 Å, b = 3.335 Å, c = 9.221 Å, α = 90.00°, β = 90.00° and γ = 90.00°. Symmetry generates all atoms from Lu at (0.000, 0.000, 0.000), Pu at (0.500, 0.500, 0.273) and Pa at (0.000, 0.000, 0.500).

Its total magnetization is 10.88 μB/f.u. The uncorrected energy comes out at -10.568 eV per atom. The value obtained for the formation energy is 102 meV per atom.

***

# 8
# LuPuPa

Crystalline LuPuPa at its relaxed geometry (PBE, the Alexandria database).

It has space group I4mm (No. 107), with a = 3.393 Å, b = 3.393 Å, c = 13.607 Å, α = 90.00°, β = 90.00° and γ = 90.00°. Symmetry generates all atoms from Lu at (0.000, 0.000, 0.000), Pu at (0.000, 0.000, 0.687) and Pa at (0.000, 0.000, 0.331).

Its total magnetization is 5.71 μB/f.u. The uncorrected energy comes out at -9.337 eV per atom. The value obtained for the formation energy is 112 meV per atom.

***

# 9
# Lu2PuPa

Crystalline Lu2PuPa at its relaxed geometry (PBE, the Alexandria database).

It has space group P4/mmm (No. 123), with a = 3.296 Å, b = 3.296 Å, c = 10.097 Å, α = 90.00°, β = 90.00° and γ = 90.00°. Symmetry generates all atoms from Lu at (0.000, 0.000, 0.241), Pu at (0.500, 0.500, 0.500) and Pa at (0.500, 0.500, 0.000).

Its total magnetization is 5.99 μB/f.u. The uncorrected energy comes out at -8.048 eV per atom. The value obtained for the formation energy is 169 meV per atom.

***

# 10
# LuPuPaRe

Crystalline LuPuPaRe at its relaxed geometry (PBE, the Alexandria database).

It has space group F-43m (No. 216), with a = 7.025 Å, b = 7.025 Å, c = 7.025 Å, α = 90.00°, β = 90.00° and γ = 90.00°. Symmetry generates all atoms from Lu at (0.000, 0.000, 0.000), Pu at (0.250, 0.250, 0.250), Pa at (0.000, 0.000, 0.500) and Re at (0.250, 0.250, 0.750).

Its total magnetization is 6.38 μB/f.u. The uncorrected energy comes out at -10.066 eV per atom. The value obtained for the formation energy is 133 meV per atom.

***

# 11
# LuPuScPa

Crystalline LuPuScPa at its relaxed geometry (PBE, the Alexandria database).

It has space group F-43m (No. 216), with a = 7.448 Å, b = 7.448 Å, c = 7.448 Å, α = 90.00°, β = 90.00° and γ = 90.00°. Symmetry generates all atoms from Lu at (0.000, 0.000, 0.000), Pu at (0.000, 0.000, 0.500), Sc at (0.250, 0.250, 0.750) and Pa at (0.250, 0.250, 0.250).

Its total magnetization is 8.66 μB/f.u. The uncorrected energy comes out at -8.435 eV per atom. The value obtained for the formation energy is 235 meV per atom.

***

# 12
# TbLuPuPa

Crystalline TbLuPuPa at its relaxed geometry (PBE, the Alexandria database).

It has space group F-43m (No. 216), with a = 7.634 Å, b = 7.634 Å, c = 7.634 Å, α = 90.00°, β = 90.00° and γ = 90.00°. Symmetry generates all atoms from Tb at (0.000, 0.000, 0.000), Lu at (0.250, 0.250, 0.250), Pu at (0.000, 0.000, 0.500) and Pa at (0.250, 0.250, 0.750).

Its total magnetization is 8.79 μB/f.u. The uncorrected energy comes out at -7.952 eV per atom. The value obtained for the formation energy is 293 meV per atom.

***

What is the uncorrected energy in the sixth record? -10.461 eV per atom

***

The highest total magnetization belongs to which entry? number 3